[1]
! KLa4Te5 GGA-PBE relaxed; values from VASP
&SYSTEM
  ibrav = 0, nat = 10, ntyp = 3
/
ATOMIC_SPECIES
K 39.10 K.upf
La 138.91 La.upf
Te 127.60 Te.upf
ATOMIC_POSITIONS crystal
K 0.000 0.000 0.000
La 0.205 0.205 0.000
La 0.399 0.399 0.000
La 0.601 0.601 0.000
La 0.795 0.795 0.000
Te 0.107 0.607 0.500
Te 0.302 0.802 0.500
Te 0.500 0.000 0.500
Te 0.698 0.198 0.500
Te 0.893 0.393 0.500
CELL_PARAMETERS angstrom
-2.303 3.266 11.738
2.303 -3.266 11.738
2.303 3.266 -11.738
! **V**: 353 Å³/f.u.
! **N(E_F)**: 3.658 states/eV/cell
! **Formation energy from raw total energies**: -1.536 eV per atom

=====

[2]
! KLa2Te GGA-PBE relaxed; values from VASP
&SYSTEM
  ibrav = 0, nat = 4, ntyp = 3
/
ATOMIC_SPECIES
K 39.10 K.upf
La 138.91 La.upf
Te 127.60 Te.upf
ATOMIC_POSITIONS crystal
K 0.000 0.000 0.000
La 0.000 0.500 0.500
La 0.500 0.000 0.500
Te 0.500 0.500 0.000
CELL_PARAMETERS angstrom
5.183 0.000 0.000
0.000 5.183 0.000
0.000 0.000 4.941
! **V**: 133 Å³/f.u.
! **N(E_F)**: 3.592 states/eV/cell
! **Formation energy from raw total energies**: -0.316 eV per atom

=====

[3]
! KLa2Te GGA-PBE relaxed; values from VASP
&SYSTEM
  ibrav = 0, nat = 4, ntyp = 3
/
ATOMIC_SPECIES
K 39.10 K.upf
La 138.91 La.upf
Te 127.60 Te.upf
ATOMIC_POSITIONS crystal
K 0.000 0.000 0.000
La 0.301 0.801 0.500
La 0.699 0.199 0.500
Te 0.500 0.500 0.000
CELL_PARAMETERS angstrom
-2.007 3.019 6.516
2.007 -3.019 6.516
2.007 3.019 -6.516
! **V**: 158 Å³/f.u.
! **N(E_F)**: 5.306 states/eV/cell
! **Formation energy from raw total energies**: -0.439 eV per atom

=====

[4]
! KLa2Te GGA-PBE relaxed; values from VASP
&SYSTEM
  ibrav = 0, nat = 4, ntyp = 3
/
ATOMIC_SPECIES
K 39.10 K.upf
La 138.91 La.upf
Te 127.60 Te.upf
ATOMIC_POSITIONS crystal
K 0.000 0.000 0.000
La 0.312 0.812 0.500
La 0.667 0.667 0.000
Te 0.813 0.313 0.500
CELL_PARAMETERS angstrom
-2.079 2.444 8.928
2.079 -2.444 8.928
2.079 2.444 -8.928
! **V**: 181 Å³/f.u.
! **N(E_F)**: 3.826 states/eV/cell
! **Formation energy from raw total energies**: -0.410 eV per atom

=====

[5]
! KLa2Te GGA-PBE relaxed; values from VASP
&SYSTEM
  ibrav = 0, nat = 4, ntyp = 3
/
ATOMIC_SPECIES
K 39.10 K.upf
La 138.91 La.upf
Te 127.60 Te.upf
ATOMIC_POSITIONS crystal
K 0.000 0.000 0.000
La 0.250 0.750 0.500
La 0.750 0.250 0.500
Te 0.500 0.500 0.000
CELL_PARAMETERS angstrom
-2.497 2.497 5.554
2.497 -2.497 5.554
2.497 2.497 -5.554
! **V**: 138 Å³/f.u.
! **N(E_F)**: 3.818 states/eV/cell
! **Formation energy from raw total energies**: -0.287 eV per atom

=====

[6]
! KLa4Te GGA-PBE relaxed; values from VASP
&SYSTEM
  ibrav = 0, nat = 6, ntyp = 3
/
ATOMIC_SPECIES
K 39.10 K.upf
La 138.91 La.upf
Te 127.60 Te.upf
ATOMIC_POSITIONS crystal
K 0.000 0.000 0.000
La 0.128 0.624 0.624
La 0.624 0.128 0.624
La 0.624 0.624 0.128
La 0.624 0.624 0.624
Te 0.250 0.250 0.250
CELL_PARAMETERS angstrom
0.000 4.805 4.805
4.805 0.000 4.805
4.805 4.805 0.000
! **V**: 222 Å³/f.u.
! **N(E_F)**: 10.051 states/eV/cell
! **Formation energy from raw total energies**: 0.165 eV per atom

=====

[7]
! KLa2Te GGA-PBE relaxed; values from VASP
&SYSTEM
  ibrav = 0, nat = 8, ntyp = 3
/
ATOMIC_SPECIES
K 39.10 K.upf
La 138.91 La.upf
Te 127.60 Te.upf
ATOMIC_POSITIONS crystal
K 0.000 0.000 0.000
K 0.750 0.250 0.500
La 0.181 0.625 0.056
La 0.375 0.431 0.556
La 0.569 0.125 0.944
La 0.875 0.819 0.444
Te 0.250 0.750 0.500
Te 0.500 0.500 0.000
CELL_PARAMETERS angstrom
-4.832 4.832 3.514
4.832 -4.832 3.514
4.832 4.832 -3.514
! **V**: 164 Å³/f.u.
! **N(E_F)**: 7.476 states/eV/cell
! **Formation energy from raw total energies**: -0.240 eV per atom

=====

[8]
! KLa2Te2 GGA-PBE relaxed; values from VASP
&SYSTEM
  ibrav = 0, nat = 10, ntyp = 3
/
ATOMIC_SPECIES
K 39.10 K.upf
La 138.91 La.upf
Te 127.60 Te.upf
ATOMIC_POSITIONS crystal
K 0.000 0.000 0.000
K 0.500 0.500 0.000
La 0.139 0.361 0.000
La 0.361 0.861 0.000
La 0.639 0.139 0.000
La 0.861 0.639 0.000
Te 0.154 0.654 0.500
Te 0.346 0.154 0.500
Te 0.654 0.846 0.500
Te 0.846 0.346 0.500
CELL_PARAMETERS angstrom
9.237 0.000 0.000
0.000 9.237 0.000
0.000 0.000 4.021
! **V**: 172 Å³/f.u.
! **N(E_F)**: 10.667 states/eV/cell
! **Energy relative to the lowest polymorph listed for this composition**: 13.78 kJ per mole of atoms
! **Formation energy from raw total energies**: -0.936 eV per atom

=====

[9]
! KLa5Te8 GGA-PBE relaxed; values from VASP
&SYSTEM
  ibrav = 0, nat = 14, ntyp = 3
/
ATOMIC_SPECIES
K 39.10 K.upf
La 138.91 La.upf
Te 127.60 Te.upf
ATOMIC_POSITIONS crystal
K 0.000 0.000 0.000
La 0.118 0.242 0.618
La 0.250 0.750 0.500
La 0.500 0.882 0.124
La 0.624 0.500 0.382
La 0.758 0.376 0.876
Te 0.031 0.618 0.745
Te 0.233 0.488 0.103
Te 0.382 0.128 0.413
Te 0.385 0.131 0.897
Te 0.512 0.615 0.745
Te 0.714 0.969 0.587
Te 0.869 0.767 0.255
Te 0.872 0.286 0.255
CELL_PARAMETERS angstrom
-4.892 4.892 4.870
4.892 -4.892 4.870
4.892 4.892 -4.870
! **V**: 466 Å³/f.u.
! **Formation energy from raw total energies**: -1.575 eV per atom

=====

[10]
! K3LaTe GGA-PBE relaxed; values from VASP
&SYSTEM
  ibrav = 0, nat = 5, ntyp = 3
/
ATOMIC_SPECIES
K 39.10 K.upf
La 138.91 La.upf
Te 127.60 Te.upf
ATOMIC_POSITIONS crystal
K 0.000 0.000 0.500
K 0.000 0.500 0.000
K 0.500 0.000 0.000
La 0.000 0.000 0.000
Te 0.500 0.500 0.500
CELL_PARAMETERS angstrom
6.551 0.000 0.000
0.000 6.551 0.000
0.000 0.000 6.551
! **V**: 281 Å³/f.u.
! **N(E_F)**: 5.908 states/eV/cell
! **Formation energy from raw total energies**: 0.720 eV per atom

=====

[11]
! KLa2Te GGA-PBE relaxed; values from VASP
&SYSTEM
  ibrav = 0, nat = 4, ntyp = 3
/
ATOMIC_SPECIES
K 39.10 K.upf
La 138.91 La.upf
Te 127.60 Te.upf
ATOMIC_POSITIONS crystal
K 0.000 0.000 0.000
La 0.330 0.500 0.703
La 0.670 0.500 0.297
Te 0.500 0.000 0.500
CELL_PARAMETERS angstrom
4.163 0.000 0.000
0.000 5.868 0.000
-0.652 0.000 6.155
! **V**: 150 Å³/f.u.
! **N(E_F)**: 3.937 states/eV/cell
! **Formation energy from raw total energies**: -0.338 eV per atom

=====

[12]
! KLa2Te GGA-PBE relaxed; values from VASP
&SYSTEM
  ibrav = 0, nat = 4, ntyp = 3
/
ATOMIC_SPECIES
K 39.10 K.upf
La 138.91 La.upf
Te 127.60 Te.upf
ATOMIC_POSITIONS crystal
K 0.000 0.000 0.000
La 0.000 0.500 0.500
La 0.500 0.000 0.500
Te 0.500 0.500 0.000
CELL_PARAMETERS angstrom
3.574 -5.899 0.000
3.574 5.899 0.000
-2.052 0.000 3.364
! **V**: 142 Å³/f.u.
! **N(E_F)**: 4.970 states/eV/cell
! **Formation energy from raw total energies**: -0.259 eV per atom

=====

[13]
! KLa2Te GGA-PBE relaxed; values from VASP
&SYSTEM
  ibrav = 0, nat = 4, ntyp = 3
/
ATOMIC_SPECIES
K 39.10 K.upf
La 138.91 La.upf
Te 127.60 Te.upf
ATOMIC_POSITIONS crystal
K 0.000 0.000 0.000
La 0.250 0.750 0.500
La 0.500 0.500 0.000
Te 0.750 0.250 0.500
CELL_PARAMETERS angstrom
-2.440 2.440 5.706
2.440 -2.440 5.706
2.440 2.440 -5.706
! **V**: 136 Å³/f.u.
! **N(E_F)**: 5.464 states/eV/cell
! **Formation energy from raw total energies**: -0.252 eV per atom

=====

[14]
! K2LaThTe4 GGA-PBE relaxed; values from VASP
&SYSTEM
  ibrav = 0, nat = 8, ntyp = 4
/
ATOMIC_SPECIES
K 39.10 K.upf
La 138.91 La.upf
Th 232.04 Th.upf
Te 127.60 Te.upf
ATOMIC_POSITIONS crystal
K 0.000 0.000 0.000
K 0.500 0.500 0.000
La 0.000 0.500 0.500
Th 0.500 0.000 0.500
Te 0.247 0.000 0.720
Te 0.267 0.500 0.282
Te 0.733 0.500 0.718
Te 0.753 0.000 0.280
CELL_PARAMETERS angstrom
7.979 0.000 0.000
0.000 4.580 0.000
-2.624 0.000 8.337
! **V**: 305 Å³/f.u.
! **N(E_F)**: 4.615 states/eV/cell
! **Formation energy from raw total energies**: -1.327 eV per atom